Entry 1:
4
Lattice="3.039 0.000 0.000 0.000 3.039 0.000 0.000 0.000 6.220" Properties=species:S:1:pos:R:3 comment="ScZnCo2 | Alexandria via LeMat-Bulk | PBE-GGA | relaxed" formation_energy_ev_per_atom=-0.108 magnetic_moment_mub_per_atom=0.73 n_ef_per_ev_atom=0.82 spacegroup="P4mm (99)" pbc="T T T"
Sc 0.000 0.000 0.000
Zn 1.520 1.520 1.975
Co 0.000 0.000 3.368
Co 1.520 1.520 4.559



Entry 2:
9
Lattice="7.943 0.000 0.000 -3.971 6.879 0.000 0.000 0.000 3.525" Properties=species:S:1:pos:R:3 comment="CeY2Al6 | Alexandria via LeMat-Bulk | PBE-GGA | relaxed" formation_energy_ev_per_atom=-0.472 magnetic_moment_mub_per_atom=0.08 n_ef_per_ev_atom=0.72 spacegroup="P6/mmm (191)" pbc="T T T"
Ce 0.000 0.000 0.000
Y 0.000 4.586 0.000
Y 3.971 2.293 0.000
Al -1.327 2.299 1.763
Al -2.644 4.580 1.763
Al 2.654 0.000 1.763
Al 1.327 2.299 1.763
Al 5.288 0.000 1.763
Al 2.644 4.580 1.763



Entry 3:
10
Lattice="9.685 0.000 0.000 0.000 9.685 0.000 0.000 0.000 3.667" Properties=species:S:1:pos:R:3 comment="RbCa2In2 | Alexandria via LeMat-Bulk | PBE-GGA | relaxed" formation_energy_ev_per_atom=-0.210 magnetic_moment_mub_per_atom=0.00 n_ef_per_ev_atom=0.75 polymorph_energy_ev_per_atom=0.000 spacegroup="P4/mbm (127)" pbc="T T T"
Rb 0.000 0.000 0.000
Rb 4.842 4.842 0.000
Ca 1.313 3.529 0.000
Ca 3.529 8.371 0.000
Ca 6.156 1.313 0.000
Ca 8.371 6.156 0.000
In 1.529 6.371 1.834
In 3.314 1.529 1.834
In 6.371 8.156 1.834
In 8.156 3.314 1.834



Entry 4:
7
Lattice="-2.314 5.676 4.515 2.314 -5.676 4.515 2.314 5.676 -4.515" Properties=species:S:1:pos:R:3 comment="PuCl5F | Alexandria via LeMat-Bulk | PBE-GGA | relaxed" magnetic_moment_mub_per_atom=0.49 n_ef_per_ev_atom=0.84 total_energy_ev_per_atom=-5.0787 spacegroup="Imm2 (44)" pbc="T T T"
Pu 0.000 0.000 0.000
Cl 2.314 -3.205 4.488
Cl 0.000 0.000 2.485
Cl 1.157 5.676 1.897
Cl 1.157 0.000 6.413
Cl 2.314 3.205 4.488
F 2.314 0.000 0.173



Entry 5:
5
Lattice="4.618 0.000 0.000 0.000 4.618 0.000 0.000 0.000 5.509" Properties=species:S:1:pos:R:3 comment="CaLaRe2B | Alexandria via LeMat-Bulk | PBE-GGA | relaxed" formation_energy_ev_per_atom=3.051 magnetic_moment_mub_per_atom=0.00 n_ef_per_ev_atom=1.29 spacegroup="P4/mmm (123)" pbc="T T T"
Ca 0.000 0.000 0.000
La 0.000 0.000 2.754
Re 0.000 2.309 0.000
Re 2.309 0.000 0.000
B 2.309 2.309 2.754



Entry 6:
16
Lattice="2.456 -5.812 0.000 2.456 5.812 0.000 0.000 0.000 15.338" Properties=species:S:1:pos:R:3 comment="Tl3Pd2Se3 | Alexandria via LeMat-Bulk | PBE-GGA | relaxed" magnetic_moment_mub_per_atom=0.00 n_ef_per_ev_atom=0.18 total_energy_ev_per_atom=-3.7760 spacegroup="Cmcm (63)" pbc="T T T"
Tl 2.456 5.424 9.727
Tl 2.456 5.424 13.280
Tl 2.456 2.465 3.835
Tl 2.456 -2.465 11.504
Tl 2.456 -5.424 2.058
Tl 2.456 -5.424 5.611
Pd 2.456 2.420 9.203
Pd 2.456 2.420 13.804
Pd 2.456 -2.420 1.534
Pd 2.456 -2.420 6.135
Se 2.456 3.432 0.787
Se 2.456 3.432 6.882
Se 2.456 1.212 11.504
Se 2.456 -1.212 3.835
Se 2.456 -3.432 8.456
Se 2.456 -3.432 14.551



Entry 7:
8
Lattice="5.193 0.000 0.000 -2.597 4.497 0.000 0.000 0.000 9.185" Properties=species:S:1:pos:R:3 comment="ScTl | Alexandria via LeMat-Bulk | PBE-GGA | relaxed" formation_energy_ev_per_atom=0.211 magnetic_moment_mub_per_atom=0.25 n_ef_per_ev_atom=1.30 spacegroup="P6_3/mmc (194)" pbc="T T T"
Sc 0.000 2.998 0.821
Sc 0.000 2.998 3.771
Sc 2.597 1.499 5.414
Sc 2.597 1.499 8.363
Tl 0.000 0.000 2.296
Tl 0.000 0.000 6.888
Tl 0.000 2.998 6.888
Tl 2.597 1.499 2.296



Entry 8:
8
Lattice="5.981 0.000 0.000 0.000 3.456 0.000 -1.982 0.000 11.018" Properties=species:S:1:pos:R:3 comment="Tb2PmNdSc4 | Alexandria via LeMat-Bulk | PBE-GGA | relaxed" formation_energy_ev_per_atom=0.063 magnetic_moment_mub_per_atom=0.00 n_ef_per_ev_atom=1.31 spacegroup="P2/m (10)" pbc="T T T"
Tb 0.000 0.000 0.000
Tb -0.991 1.728 5.509
Pm 1.999 0.000 5.509
Nd 2.991 1.728 0.000
Sc 0.003 0.000 8.258
Sc 0.992 1.728 2.758
Sc 3.996 0.000 2.760
Sc 3.007 1.728 8.260